## LiSnHg (GGA-PBE)

Data for a geometry-optimized LiSnHg structure.

```
data_LiSnHg
_chemical_formula_sum 'Li1 Sn1 Hg1'
_space_group_name_H-M_alt 'P 1'
_space_group_IT_number 1
_space_group_name_Hall 'P 1'
_cell_length_a 4.705
_cell_length_b 4.705
_cell_length_c 4.705
_cell_angle_alpha 60.00
_cell_angle_beta 60.00
_cell_angle_gamma 60.00
loop_
_atom_site_label
_atom_site_type_symbol
_atom_site_fract_x
_atom_site_fract_y
_atom_site_fract_z
Li1 Li 0.000 0.000 0.000
Sn1 Sn 0.500 0.500 0.500
Hg1 Hg 0.250 0.250 0.250
```

Output
- Calculated formation energy: -206 meV/atom
- V: 24.5 Å³/atom
- Energy above the lowest structure with this stoichiometry: 2 kJ/mol of formula units